Entry from Alexandria: a relaxed structure of NiBIO2 (PBE+U).

a = 3.407 Å, b = 3.407 Å, c = 6.151 Å
α = 90.00°, β = 90.00°, γ = 90.00°
Sites, in units of the cell vectors:
Ni 0.000 0.000 0.000
B 0.500 0.500 0.500
I 0.500 0.500 0.000
O 0.000 0.500 0.500
O 0.500 0.000 0.500

Properties
Energy in eV/cell: -19.50
M_tot in μB/f.u.: 1.23